## a
DFT (PBE) results for an optimized crystal structure of GdTmZn2Sn2.

Summary:
**SG**: P6_3/mmc, No. 194

Cell: 4.5034 4.5034 15.7504 Å, 90.00 90.00 120.00°
Last column: nearest neighbours and their distance in Å.
Fractional positions:
Gd1 0.0000 0.0000 0.0000  6 Sn 3.17
Gd2 0.0000 0.0000 0.5000  6 Sn 3.17
Tm1 0.0000 0.0000 0.2500  6 Zn 2.95
Tm2 0.0000 0.0000 0.7500  6 Zn 2.95
Zn1 0.3333 0.6667 0.1612  3 Sn 2.70, 1 Zn 2.80, 3 Tm 2.95
Zn2 0.3333 0.6667 0.3388  3 Sn 2.70, 1 Zn 2.80, 3 Tm 2.95
Zn3 0.6667 0.3333 0.6612  3 Sn 2.70, 1 Zn 2.80, 3 Tm 2.95
Zn4 0.6667 0.3333 0.8388  3 Sn 2.70, 1 Zn 2.80, 3 Tm 2.95
Sn1 0.3333 0.6667 0.6154  3 Zn 2.70
Sn2 0.3333 0.6667 0.8846  3 Zn 2.70
Sn3 0.6667 0.3333 0.1154  3 Zn 2.70
Sn4 0.6667 0.3333 0.3846  3 Zn 2.70

---

## b
DFT (PBE) results for an optimized crystal structure of GdTmZn2Sn2.

Summary:
**SG**: P6_3/mmc, No. 194

Cell: 4.5141 4.5141 15.7389 Å, 90.00 90.00 120.00°
Last column: nearest neighbours and their distance in Å.
Fractional positions:
Gd1 0.0000 0.0000 0.2500  6 Zn 2.98
Gd2 0.0000 0.0000 0.7500  6 Zn 2.98
Tm1 0.0000 0.0000 0.0000  6 Sn 3.14
Tm2 0.0000 0.0000 0.5000  6 Sn 3.14
Zn1 0.3333 0.6667 0.1585  3 Sn 2.71, 1 Zn 2.88, 3 Gd 2.98
Zn2 0.3333 0.6667 0.3415  3 Sn 2.71, 1 Zn 2.88, 3 Gd 2.98
Zn3 0.6667 0.3333 0.6585  3 Sn 2.71, 1 Zn 2.88, 3 Gd 2.98
Zn4 0.6667 0.3333 0.8415  3 Sn 2.71, 1 Zn 2.88, 3 Gd 2.98
Sn1 0.3333 0.6667 0.6113  3 Zn 2.71
Sn2 0.3333 0.6667 0.8887  3 Zn 2.71
Sn3 0.6667 0.3333 0.1113  3 Zn 2.71
Sn4 0.6667 0.3333 0.3887  3 Zn 2.71

---

Short version: a is the most stable of them.

---

## a
DFT (PBE) results for an optimized crystal structure of SrGd2.

Summary:
**SG**: Fd-3m, No. 227

Cell: 11.3023 11.3023 11.3023 Å, 60.00 60.00 60.00°
Last column: nearest neighbours and their distance in Å.
Fractional positions:
Sr1 0.1250 0.1250 0.1250  4 Gd 3.46
Sr2 0.8750 0.8750 0.8750  4 Gd 3.46
Gd1 0.0000 0.0000 0.0000  2 Sr 3.46
Gd2 0.0000 0.0000 0.5000  2 Sr 3.46
Gd3 0.0000 0.5000 0.0000  2 Sr 3.46
Gd4 0.5000 0.0000 0.0000  2 Sr 3.46

---

## b
DFT (PBE) results for an optimized crystal structure of SrGd2.

Summary:
**SG**: Fd-3m, No. 227

Cell: 6.9618 6.9618 6.9618 Å, 60.00 60.00 60.00°
Last column: nearest neighbours and their distance in Å.
Fractional positions:
Sr1 0.1250 0.1250 0.1250  12 Gd 4.08, 4 Sr 4.26
Sr2 0.8750 0.8750 0.8750  12 Gd 4.08, 4 Sr 4.26
Gd1 0.0000 0.5000 0.5000  6 Gd 3.48
Gd2 0.5000 0.0000 0.5000  6 Gd 3.48
Gd3 0.5000 0.5000 0.0000  6 Gd 3.48
Gd4 0.5000 0.5000 0.5000  6 Gd 3.48

---

Short version: b is the most stable of them.

---

## a
DFT (PBE) results for an optimized crystal structure of TbGd.

Summary:
**SG**: Fm-3m, No. 225

Cell: 4.5721 4.5721 4.5721 Å, 60.00 60.00 60.00°
Last column: nearest neighbours and their distance in Å.
Fractional positions:
Tb1 0.0000 0.0000 0.0000  6 Gd 3.23
Gd1 0.5000 0.5000 0.5000  6 Tb 3.23

---

## b
DFT (PBE) results for an optimized crystal structure of TbGd.

Summary:
**SG**: F-43m, No. 216

Cell: 4.9226 4.9226 4.9226 Å, 60.00 60.00 60.00°
Last column: nearest neighbours and their distance in Å.
Fractional positions:
Tb1 0.0000 0.0000 0.0000  4 Gd 3.01
Gd1 0.2500 0.2500 0.2500  4 Tb 3.01

---

Short version: a is the most stable of them.

---

## a
DFT (PBE) results for an optimized crystal structure of TbGdTe2.

Summary:
**SG**: P-3m1, No. 164

Cell: 4.2469 4.2469 7.7001 Å, 90.00 90.00 120.00°
Last column: nearest neighbours and their distance in Å.
Fractional positions:
Tb1 0.0000 0.0000 0.0000  6 Te 3.11
Gd1 0.0000 0.0000 0.5000  6 Te 3.13
Te1 0.3333 0.6667 0.7518  3 Tb 3.11, 3 Gd 3.13
Te2 0.6667 0.3333 0.2482  3 Tb 3.11, 3 Gd 3.13

---

## b
DFT (PBE) results for an optimized crystal structure of TbGdTe2.

Summary:
**SG**: P4/mmm, No. 123

Cell: 4.3755 4.3755 6.1951 Å, 90.00 90.00 90.00°
Last column: nearest neighbours and their distance in Å.
Fractional positions:
Tb1 0.0000 0.0000 0.0000  6 Te 3.09-3.10
Gd1 0.5000 0.5000 0.5000  6 Te 3.09-3.10
Te1 0.0000 0.0000 0.5000  4 Gd 3.09, 2 Tb 3.10
Te2 0.5000 0.5000 0.0000  4 Tb 3.09, 2 Gd 3.10

---

Short version: a is the most stable of them.

---

## a
DFT (PBE) results for an optimized crystal structure of Gd2Tc.

Summary:
**SG**: Fm-3m, No. 225

Cell: 4.8125 4.8125 4.8125 Å, 60.00 60.00 60.00°
Last column: nearest neighbours and their distance in Å.
Fractional positions:
Gd1 0.2500 0.2500 0.2500  4 Tc 2.95
Gd2 0.7500 0.7500 0.7500  4 Tc 2.95
Tc1 0.0000 0.0000 0.0000  8 Gd 2.95

---

## b
DFT (PBE) results for an optimized crystal structure of Gd2Tc.

Summary:
**SG**: Fd-3m, No. 227

Cell: 5.8895 5.8895 5.8895 Å, 60.00 60.00 60.00°
Last column: nearest neighbours and their distance in Å.
Fractional positions:
Gd1 0.0000 0.0000 0.0000  6 Gd 2.94
Gd2 0.0000 0.0000 0.5000  6 Gd 2.94
Gd3 0.0000 0.5000 0.0000  6 Gd 2.94
Gd4 0.5000 0.0000 0.0000  6 Gd 2.94
Tc1 0.3750 0.3750 0.3750  12 Gd 3.45, 4 Tc 3.61
Tc2 0.6250 0.6250 0.6250  12 Gd 3.45, 4 Tc 3.61

---

Short version: a is the most stable of them.

---

## a
DFT (PBE) results for an optimized crystal structure of GdTlTc.

Summary:
**SG**: F-43m, No. 216

Cell: 4.8435 4.8435 4.8435 Å, 60.00 60.00 60.00°
Last column: nearest neighbours and their distance in Å.
Fractional positions:
Gd1 0.0000 0.0000 0.0000  4 Tl 2.97, 4 Tc 2.97
Tl1 0.2500 0.2500 0.2500  4 Gd 2.97
Tc1 0.7500 0.7500 0.7500  4 Gd 2.97

---

## b
DFT (PBE) results for an optimized crystal structure of GdTlTc.

Summary:
**SG**: F-43m, No. 216

Cell: 4.7624 4.7624 4.7624 Å, 60.00 60.00 60.00°
Last column: nearest neighbours and their distance in Å.
Fractional positions:
Gd1 0.0000 0.0000 0.0000  4 Tl 2.92
Tl1 0.2500 0.2500 0.2500  4 Gd 2.92, 4 Tc 2.92
Tc1 0.5000 0.5000 0.5000  4 Tl 2.92

---

Short version: b is the most stable of them.

---

## a
DFT (PBE) results for an optimized crystal structure of GdZrTl.

Summary:
**SG**: F-43m, No. 216

Cell: 5.0124 5.0124 5.0124 Å, 60.00 60.00 60.00°
Last column: nearest neighbours and their distance in Å.
Fractional positions:
Gd1 0.0000 0.0000 0.0000  4 Tl 3.07
Zr1 0.5000 0.5000 0.5000  4 Tl 3.07
Tl1 0.2500 0.2500 0.2500  4 Gd 3.07, 4 Zr 3.07

---

## b
DFT (PBE) results for an optimized crystal structure of GdZrTl.

Summary:
**SG**: F-43m, No. 216

Cell: 5.0531 5.0531 5.0531 Å, 60.00 60.00 60.00°
Last column: nearest neighbours and their distance in Å.
Fractional positions:
Gd1 0.0000 0.0000 0.0000  4 Tl 3.09, 4 Zr 3.09
Zr1 0.2500 0.2500 0.2500  4 Gd 3.09
Tl1 0.7500 0.7500 0.7500  4 Gd 3.09

---

Short version: a is the most stable of them.

---

## a
DFT (PBE) results for an optimized crystal structure of Gd2W.

Summary:
**SG**: Fd-3m, No. 227

Cell: 8.3529 8.3529 8.3529 Å, 60.00 60.00 60.00°
Last column: nearest neighbours and their distance in Å.
Fractional positions:
Gd1 0.0000 0.0000 0.0000  2 W 2.56
Gd2 0.0000 0.0000 0.5000  2 W 2.56
Gd3 0.0000 0.5000 0.0000  2 W 2.56
Gd4 0.5000 0.0000 0.0000  2 W 2.56
W1 0.1250 0.1250 0.1250  4 Gd 2.56
W2 0.8750 0.8750 0.8750  4 Gd 2.56

---

## b
DFT (PBE) results for an optimized crystal structure of Gd2W.

Summary:
**SG**: Fd-3m, No. 227

Cell: 5.9002 5.9002 5.9002 Å, 60.00 60.00 60.00°
Last column: nearest neighbours and their distance in Å.
Fractional positions:
Gd1 0.0000 0.0000 0.0000  6 Gd 2.95
Gd2 0.0000 0.0000 0.5000  6 Gd 2.95
Gd3 0.0000 0.5000 0.0000  6 Gd 2.95
Gd4 0.5000 0.0000 0.0000  6 Gd 2.95
W1 0.3750 0.3750 0.3750  12 Gd 3.46, 4 W 3.61
W2 0.6250 0.6250 0.6250  12 Gd 3.46, 4 W 3.61

---

Short version: b is the most stable of them.